Record 1
# DyZr2Co | Alexandria | GGA-PBE | relaxed
# Size of the total moment (μB per formula unit): 0.0
# Formation energy from the elements (eV/atom): -0.162
# Symmetry: P2_1/m
# Calculated volume (Å³/cell): 173
data_DyZr2Co
_chemical_formula_sum 'Dy2 Zr4 Co2'
_cell_length_a 3.431
_cell_length_b 5.823
_cell_length_c 9.076
_cell_angle_alpha 90.00
_cell_angle_beta 90.00
_cell_angle_gamma 107.12
_symmetry_space_group_name_H-M 'P 1'
_symmetry_Int_Tables_number 1
loop_
_symmetry_equiv_pos_as_xyz
'x,y,z'
loop_
_atom_site_label
_atom_site_type_symbol
_atom_site_fract_x
_atom_site_fract_y
_atom_site_fract_z
_atom_site_occupancy
Dy1 Dy 0.423 0.844 0.250 1
Dy2 Dy 0.577 0.156 0.750 1
Zr1 Zr 0.141 0.283 0.436 1
Zr2 Zr 0.859 0.717 0.564 1
Zr3 Zr 0.859 0.717 0.936 1
Zr4 Zr 0.141 0.283 0.064 1
Co1 Co 0.719 0.437 0.250 1
Co2 Co 0.281 0.563 0.750 1


Record 2
# Dy2ZrCo | Alexandria | GGA-PBE | relaxed
# Size of the total moment (μB per formula unit): 0.0
# Formation energy from the elements (eV/atom): 0.333
# Symmetry: R-3m
# Calculated volume (Å³/cell): 97
data_Dy2ZrCo
_chemical_formula_sum 'Dy2 Zr1 Co1'
_cell_length_a 3.333
_cell_length_b 3.333
_cell_length_c 10.298
_cell_angle_alpha 80.69
_cell_angle_beta 80.69
_cell_angle_gamma 60.00
_symmetry_space_group_name_H-M 'P 1'
_symmetry_Int_Tables_number 1
loop_
_symmetry_equiv_pos_as_xyz
'x,y,z'
loop_
_atom_site_label
_atom_site_type_symbol
_atom_site_fract_x
_atom_site_fract_y
_atom_site_fract_z
_atom_site_occupancy
Co1 Co 0.500 0.500 0.500 1
Zr1 Zr 0.000 0.000 0.000 1
Dy1 Dy 0.106 0.106 0.682 1
Dy2 Dy 0.894 0.894 0.318 1


Record 3
# DyZr2Co | Alexandria | GGA-PBE | relaxed
# Size of the total moment (μB per formula unit): 0.0
# Formation energy from the elements (eV/atom): 0.045
# Symmetry: R3m
# Calculated volume (Å³/cell): 93
data_DyZr2Co
_chemical_formula_sum 'Dy1 Zr2 Co1'
_cell_length_a 4.083
_cell_length_b 4.083
_cell_length_c 6.834
_cell_angle_alpha 72.62
_cell_angle_beta 72.62
_cell_angle_gamma 60.00
_symmetry_space_group_name_H-M 'P 1'
_symmetry_Int_Tables_number 1
loop_
_symmetry_equiv_pos_as_xyz
'x,y,z'
loop_
_atom_site_label
_atom_site_type_symbol
_atom_site_fract_x
_atom_site_fract_y
_atom_site_fract_z
_atom_site_occupancy
Dy1 Dy 0.496 0.496 0.511 1
Zr1 Zr 0.052 0.052 0.843 1
Zr2 Zr 0.280 0.280 0.160 1
Co1 Co 0.671 0.671 0.986 1


Record 4
# DyZrCo | Alexandria | GGA-PBE | relaxed
# Size of the total moment (μB per formula unit): 0.0
# Formation energy from the elements (eV/atom): -0.061
# Symmetry: P2_1/c
# Calculated volume (Å³/cell): 270
data_DyZrCo
_chemical_formula_sum 'Dy4 Zr4 Co4'
_cell_length_a 5.837
_cell_length_b 6.471
_cell_length_c 7.229
_cell_angle_alpha 98.24
_cell_angle_beta 90.00
_cell_angle_gamma 90.00
_symmetry_space_group_name_H-M 'P 1'
_symmetry_Int_Tables_number 1
loop_
_symmetry_equiv_pos_as_xyz
'x,y,z'
loop_
_atom_site_label
_atom_site_type_symbol
_atom_site_fract_x
_atom_site_fract_y
_atom_site_fract_z
_atom_site_occupancy
Dy1 Dy 0.366 0.204 0.891 1
Dy2 Dy 0.634 0.796 0.109 1
Dy3 Dy 0.866 0.296 0.609 1
Dy4 Dy 0.134 0.704 0.391 1
Zr1 Zr 0.874 0.299 0.128 1
Zr2 Zr 0.626 0.799 0.628 1
Zr3 Zr 0.126 0.701 0.872 1
Zr4 Zr 0.374 0.201 0.372 1
Co1 Co 0.358 0.481 0.643 1
Co2 Co 0.642 0.519 0.357 1
Co3 Co 0.142 0.981 0.143 1
Co4 Co 0.858 0.019 0.857 1


Record 5
# ErCo13 | Alexandria | GGA-PBE | relaxed
# Size of the total moment (μB per formula unit): 20.4
# Formation energy from the elements (eV/atom): -0.040
# Symmetry: Fm-3c
# Calculated volume (Å³/cell): 349
data_ErCo13
_chemical_formula_sum 'Er2 Co26'
_cell_length_a 7.899
_cell_length_b 7.899
_cell_length_c 7.899
_cell_angle_alpha 60.00
_cell_angle_beta 60.00
_cell_angle_gamma 60.00
_symmetry_space_group_name_H-M 'P 1'
_symmetry_Int_Tables_number 1
loop_
_symmetry_equiv_pos_as_xyz
'x,y,z'
loop_
_atom_site_label
_atom_site_type_symbol
_atom_site_fract_x
_atom_site_fract_y
_atom_site_fract_z
_atom_site_occupancy
Er1 Er 0.750 0.750 0.750 1
Er2 Er 0.250 0.250 0.250 1
Co1 Co 0.442 0.558 0.202 1
Co2 Co 0.202 0.798 0.442 1
Co3 Co 0.798 0.202 0.558 1
Co4 Co 0.558 0.442 0.798 1
Co5 Co 0.558 0.798 0.202 1
Co6 Co 0.798 0.558 0.442 1
Co7 Co 0.202 0.442 0.558 1
Co8 Co 0.442 0.202 0.798 1
Co9 Co 0.798 0.442 0.202 1
Co10 Co 0.558 0.202 0.442 1
Co11 Co 0.442 0.798 0.558 1
Co12 Co 0.202 0.558 0.798 1
Co13 Co 0.298 0.942 0.058 1
Co14 Co 0.058 0.702 0.298 1
Co15 Co 0.942 0.298 0.702 1
Co16 Co 0.702 0.058 0.942 1
Co17 Co 0.298 0.702 0.942 1
Co18 Co 0.058 0.942 0.702 1
Co19 Co 0.942 0.058 0.298 1
Co20 Co 0.702 0.298 0.058 1
Co21 Co 0.298 0.058 0.702 1
Co22 Co 0.058 0.298 0.942 1
Co23 Co 0.942 0.702 0.058 1
Co24 Co 0.702 0.942 0.298 1
Co25 Co 0.500 0.500 0.500 1
Co26 Co 0.000 0.000 0.000 1


Record 6
# Er4Co | Alexandria | GGA-PBE | relaxed
# Size of the total moment (μB per formula unit): 0.0
# Formation energy from the elements (eV/atom): -0.017
# Symmetry: Pm-3m
# Calculated volume (Å³/cell): 142
data_Er4Co
_chemical_formula_sum 'Er4 Co1'
_cell_length_a 5.215
_cell_length_b 5.215
_cell_length_c 5.215
_cell_angle_alpha 90.00
_cell_angle_beta 90.00
_cell_angle_gamma 90.00
_symmetry_space_group_name_H-M 'P 1'
_symmetry_Int_Tables_number 1
loop_
_symmetry_equiv_pos_as_xyz
'x,y,z'
loop_
_atom_site_label
_atom_site_type_symbol
_atom_site_fract_x
_atom_site_fract_y
_atom_site_fract_z
_atom_site_occupancy
Co1 Co 0.500 0.500 0.500 1
Er1 Er 0.000 0.000 0.000 1
Er2 Er 0.500 0.000 0.500 1
Er3 Er 0.000 0.500 0.500 1
Er4 Er 0.500 0.500 0.000 1


Question: Which of these has the lowest calculated volume?
Answer: number 3